Entry 1:
! Pr2GaSn3Ir4 (PBE, optimized geometry); values from VASP
! - symmetry = P-4m2, No. 115
! - E (eV/atom) = -6.58
! - DOS at the Fermi energy (states/eV/cell) = 7.2
&SYSTEM
  ibrav = 0, nat = 10, ntyp = 4
/
ATOMIC_SPECIES
Sn 118.71 Sn.upf
Ga 69.72 Ga.upf
Ir 192.22 Ir.upf
Pr 140.91 Pr.upf
CELL_PARAMETERS angstrom
-2.274 1.939 -3.275
0.467 -3.644 -2.482
-9.274 -3.973 4.087
ATOMIC_POSITIONS angstrom
Sn -4.637 -1.986 2.044
Sn -9.173 -2.473 1.904
Sn -1.004 -2.352 -0.695
Ga -5.540 -2.839 -0.835
Ir -6.958 -1.524 0.928
Ir -0.904 -0.852 -2.878
Ir -3.219 -3.301 0.280
Ir 0.000 0.000 0.000
Pr -6.684 -4.785 1.808
Pr -3.493 -0.040 -0.599

---

Entry 2:
! UZnRu (PBE, optimized geometry); values from VASP
! - symmetry = P-1, No. 2
! - E (eV/atom) = -7.43
! - DOS at the Fermi energy (states/eV/cell) = 14.6
&SYSTEM
  ibrav = 0, nat = 12, ntyp = 3
/
ATOMIC_SPECIES
Ru 101.07 Ru.upf
Zn 65.41 Zn.upf
U 238.03 U.upf
CELL_PARAMETERS angstrom
-3.913 -2.292 -4.459
-3.154 -4.488 2.083
-6.177 1.034 2.962
ATOMIC_POSITIONS angstrom
Ru -8.329 -2.637 1.330
Ru -5.620 -2.056 -3.422
Ru -4.915 -3.109 -0.745
Ru -7.624 -3.690 4.008
Zn -9.371 -5.284 0.966
Zn -2.749 -2.411 0.673
Zn -3.873 -0.463 -0.380
Zn -10.494 -3.336 -0.088
U -7.573 -3.619 -1.026
U -5.671 -2.128 1.611
U -7.129 0.289 1.644
U -6.115 -6.035 -1.058

---

Entry 3:
! PuH2Br6 (PBE, optimized geometry); values from VASP
! - symmetry = C2/c, No. 15
! - E (eV/atom) = -4.25
! - DOS at the Fermi energy (states/eV/cell) = 17.5
&SYSTEM
  ibrav = 0, nat = 18, ntyp = 3
/
ATOMIC_SPECIES
Br 79.90 Br.upf
Pu 244.00 Pu.upf
H 1.01 H.upf
CELL_PARAMETERS angstrom
-5.911 3.672 -2.635
-1.746 -6.673 -6.732
-6.223 -5.784 4.552
ATOMIC_POSITIONS angstrom
Br -5.055 -4.107 1.701
Br -5.879 2.026 -3.478
Br -5.704 -2.729 -5.431
Br -3.596 0.323 -0.466
Br -10.284 -9.108 -4.348
Br -8.001 -10.810 -1.336
Br -6.751 -6.837 -3.212
Br -8.825 -4.678 -6.516
Br -10.438 -4.856 -2.686
Br -7.130 -1.947 -1.602
Br -3.443 -3.929 -2.129
Br -8.177 -6.056 0.617
Pu -7.294 -4.946 2.868
Pu -6.587 -3.838 -7.682
H -7.252 -6.340 -1.957
H -3.960 -4.224 -0.818
H -9.921 -4.561 -3.997
H -6.629 -2.445 -2.858

---

Entry 4:
! CrTc2Ru (PBE, optimized geometry); values from VASP
! - offset from the most stable computed form (meV/atom) = 31
! - symmetry = P2/m, No. 10
! - E (eV/atom) = -9.77
! - DOS at the Fermi energy (states/eV/cell) = 4.5
&SYSTEM
  ibrav = 0, nat = 4, ntyp = 3
/
ATOMIC_SPECIES
Tc 98.00 Tc.upf
Ru 101.07 Ru.upf
Cr 52.00 Cr.upf
CELL_PARAMETERS angstrom
-3.716 -0.693 1.237
0.909 -1.868 1.684
1.198 2.308 4.894
ATOMIC_POSITIONS angstrom
Tc 0.966 0.369 3.111
Tc 0.087 -0.149 0.178
Ru -0.278 -0.017 5.551
Cr -1.331 -0.237 2.263

---

Entry 5:
! TbNdMg2Au4 (PBE, optimized geometry); values from VASP
! - symmetry = R-3m, No. 166
! - E (eV/atom) = -3.97
! - DOS at the Fermi energy (states/eV/cell) = 4.4
&SYSTEM
  ibrav = 0, nat = 8, ntyp = 4
/
ATOMIC_SPECIES
Mg 24.30 Mg.upf
Au 196.97 Au.upf
Nd 144.24 Nd.upf
Tb 158.93 Tb.upf
CELL_PARAMETERS angstrom
4.980 0.000 0.000
2.490 4.313 0.000
2.490 1.438 8.087
ATOMIC_POSITIONS angstrom
Mg 2.490 1.438 2.036
Mg 7.471 4.313 6.051
Au 4.980 2.875 7.009
Au 7.471 4.313 3.121
Au 2.490 1.438 4.965
Au 4.980 2.875 1.078
Nd 0.000 0.000 0.000
Tb 4.980 2.875 4.043

---

Entry 6:
! TbDy2Zn (PBE, optimized geometry); values from VASP
! - offset from the most stable computed form (meV/atom) = 97
! - symmetry = R-3m, No. 166
! - E (eV/atom) = -3.84
! - DOS at the Fermi energy (states/eV/cell) = 3.5
&SYSTEM
  ibrav = 0, nat = 4, ntyp = 3
/
ATOMIC_SPECIES
Zn 65.41 Zn.upf
Dy 162.50 Dy.upf
Tb 158.93 Tb.upf
CELL_PARAMETERS angstrom
3.559 0.000 0.000
1.780 3.082 0.000
1.780 1.027 10.324
ATOMIC_POSITIONS angstrom
Zn 0.000 0.000 0.000
Dy 1.780 1.027 2.250
Dy 5.339 3.082 8.074
Tb 3.559 2.055 5.162

---

Entry 7:
! SrCoTe2 (PBE, optimized geometry); values from VASP
! - raw formation energy (meV/atom) = -353.0
! - symmetry = P4mm, No. 99
! - E (eV/atom) = -4.12
! - DOS at the Fermi energy (states/eV/cell) = 7.1
&SYSTEM
  ibrav = 0, nat = 4, ntyp = 3
/
ATOMIC_SPECIES
Te 127.60 Te.upf
Co 58.93 Co.upf
Sr 87.62 Sr.upf
CELL_PARAMETERS angstrom
4.016 0.000 0.000
0.000 4.016 0.000
0.000 0.000 7.736
ATOMIC_POSITIONS angstrom
Te 0.000 0.000 7.661
Te 2.008 2.008 2.955
Co 0.000 0.000 2.486
Sr 2.008 2.008 6.237

---

Entry 8:
! GaHgMo2Pd (PBE, optimized geometry); values from VASP
! - symmetry = P4/mmm, No. 123
! - E (eV/atom) = -4.07
! - DOS at the Fermi energy (states/eV/cell) = 5.0
&SYSTEM
  ibrav = 0, nat = 5, ntyp = 4
/
ATOMIC_SPECIES
Mo 95.94 Mo.upf
Ga 69.72 Ga.upf
Hg 200.59 Hg.upf
Pd 106.42 Pd.upf
CELL_PARAMETERS angstrom
5.148 0.000 0.000
0.000 5.008 0.000
0.000 0.000 5.148
ATOMIC_POSITIONS angstrom
Mo 2.574 0.000 0.000
Mo 0.000 0.000 2.574
Ga 2.574 2.504 2.574
Hg 0.000 0.000 0.000
Pd 0.000 2.504 0.000

---

Among the records above, which one has the highest DOS at the Fermi energy?
PuH2Br6

---

Which formula does entry 5 have?
TbNdMg2Au4

---

Which formula does entry 7 have?
SrCoTe2

---

Number 6 is which compound?
TbDy2Zn